Record 1
The following is a DFT calculation (PBE-GGA) of an optimized crystal structure of Ta2AgPt.

Output
DOS(E_F): 0.919 states/eV/atom
DFT total energy: -7.80 eV per atom
ΔE_f: 0.346 eV/atom

Unit cell a=7.480 b=7.480 c=5.428 alpha=90.00 beta=90.00 gamma=90.00
Space group I-42d (No. 122)
Unique sites:
Ta 0.220 0.250 0.125
Ag 0.000 0.000 0.500
Pt 0.000 0.000 0.000

***

Record 2
The following is a DFT calculation (PBE-GGA) of an optimized crystal structure of Gd2PuN.

Output
DOS(E_F): 2.374 states/eV/atom
DFT total energy: -13.33 eV per atom
Uncorrected formation energy: -0.625 eV per atom

Unit cell a=3.4874 b=3.4874 c=27.1028 alpha=90.00 beta=90.00 gamma=120.00
Space group R-3m (No. 166, hexagonal axes)
Unique sites:
Gd 0.0000 0.0000 0.2181
Pu 0.0000 0.0000 0.0000
N 0.0000 0.0000 0.5000

***

Record 3
The following is a DFT calculation (PBE-GGA) of an optimized crystal structure of ScV3Se.

Output
DOS(E_F): 1.734 states/eV/atom
DFT total energy: -5.80 eV per atom
Uncorrected formation energy: 1.635 eV per atom
ΔE to the lowest computed polymorph: 1265 meV per atom

Unit cell a=4.539 b=4.539 c=4.539 alpha=90.00 beta=90.00 gamma=90.00
Space group Pm-3m (No. 221)
Unique sites:
Sc 0.000 0.000 0.000
V 0.000 0.000 0.500
Se 0.500 0.500 0.500

***

Record 4
The following is a DFT calculation (PBE-GGA) of an optimized crystal structure of TcSnP.

Output
DOS(E_F): 0.525 states/eV/atom
DFT total energy: -6.80 eV per atom
ΔE_f: -0.203 eV/atom
ΔE to the lowest computed polymorph: 80 meV per atom

Unit cell a=3.174 b=4.960 c=13.250 alpha=90.00 beta=90.00 gamma=90.00
Space group Immm (No. 71)
Unique sites:
Tc 0.000 0.000 0.106
Sn 0.000 0.500 0.210
P 0.000 0.244 0.500

***

Record 5
The following is a DFT calculation (PBE-GGA) of an optimized crystal structure of TbNd5Dy2Th.

Output
DOS(E_F): 1.529 states/eV/atom
DFT total energy: -4.86 eV per atom
ΔE_f: 0.155 eV/atom

Unit cell a=5.673 b=20.594 c=10.634 alpha=90.00 beta=90.00 gamma=90.00
Space group Cmc2_1 (No. 36)
Unique sites:
Tb 0.000 0.094 0.000
Nd 0.000 0.018 0.287
Nd 0.000 0.115 0.567
Nd 0.000 0.207 0.246
Nd 0.000 0.224 0.854
Nd 0.000 0.486 0.560
Dy 0.000 0.385 0.853
Dy 0.000 0.387 0.280
Th 0.000 0.301 0.553

***

Record 6
The following is a DFT calculation (PBE-GGA) of an optimized crystal structure of Li2AgMo.

Output
DOS(E_F): 0.785 states/eV/atom
DFT total energy: -3.97 eV per atom
ΔE_f: 0.411 eV/atom
ΔE to the lowest computed polymorph: 236 meV per atom

Unit cell a=9.639 b=2.606 c=5.177 alpha=90.00 beta=95.58 gamma=90.00
Space group Cm (No. 8)
Unique sites:
Li 0.000 0.000 0.000
Li 0.243 0.000 0.774
Ag 0.243 0.500 0.272
Mo 0.491 0.000 0.495

***

Record 7
The following is a DFT calculation (PBE-GGA) of an optimized crystal structure of Mn5In3I12.

Output
DOS(E_F): 0.508 states/eV/atom
DFT total energy: -3.98 eV per atom
Uncorrected formation energy: -0.348 eV per atom

Unit cell a=18.350 b=18.350 c=18.350 alpha=90.00 beta=90.00 gamma=90.00
Space group Ia-3d (No. 230)
Unique sites:
Mn 0.000 0.000 0.000
Mn 0.000 0.250 0.375
In 0.000 0.250 0.125
I 0.033 0.054 0.647

***

Record 8
The following is a DFT calculation (PBE-GGA) of an optimized crystal structure of KBiCl2F.

Output
DOS(E_F): 0.509 states/eV/atom
DFT total energy: -3.58 eV per atom
Uncorrected formation energy: -1.468 eV per atom

Unit cell a=5.841 b=5.841 c=4.592 alpha=90.00 beta=90.00 gamma=90.00
Space group P4/mmm (No. 123)
Unique sites:
K 0.000 0.000 0.000
Bi 0.500 0.500 0.500
Cl 0.000 0.500 0.500
F 0.500 0.500 0.000

***

Record 9
The following is a DFT calculation (PBE-GGA) of an optimized crystal structure of SrLiTc2.

Output
DOS(E_F): 1.266 states/eV/atom
DFT total energy: -5.06 eV per atom
ΔE_f: 1.025 eV/atom
ΔE to the lowest computed polymorph: 658 meV per atom

Unit cell a=2.8330 b=2.8330 c=30.8133 alpha=90.00 beta=90.00 gamma=120.00
Space group R-3m (No. 166, hexagonal axes)
Unique sites:
Sr 0.0000 0.0000 0.0000
Li 0.0000 0.0000 0.5000
Tc 0.0000 0.0000 0.2426

***

Record 10
The following is a DFT calculation (PBE-GGA) of an optimized crystal structure of LaMgH.

Output
DOS(E_F): 0.899 states/eV/atom
DFT total energy: -3.49 eV per atom
ΔE to the lowest computed polymorph: 0 meV per atom

Unit cell a=6.933 b=3.799 c=11.251 alpha=90.00 beta=103.06 gamma=90.00
Space group C2/m (No. 12)
Unique sites:
La 0.210 0.000 0.140
Mg 0.122 0.500 0.397
H 0.139 0.000 0.923

***

Record 11
The following is a DFT calculation (PBE-GGA) of an optimized crystal structure of Sr2In2Hg3.

Output
DOS(E_F): 0.559 states/eV/atom
DFT total energy: -1.78 eV per atom
ΔE_f: -0.386 eV/atom
ΔE to the lowest computed polymorph: 0 meV per atom

Unit cell a=4.621 b=21.854 c=8.293 alpha=90.00 beta=90.00 gamma=90.00
Space group Cmcm (No. 63)
Unique sites:
Sr 0.000 0.058 0.250
Sr 0.000 0.155 0.750
In 0.000 0.315 0.557
Hg 0.000 0.227 0.250
Hg 0.000 0.441 0.073

***

Record 12
The following is a DFT calculation (PBE-GGA) of an optimized crystal structure of Cr2NiRh.

Output
DOS(E_F): 1.784 states/eV/atom
DFT total energy: -7.95 eV per atom
ΔE_f: 0.144 eV/atom

Unit cell a=2.5965 b=2.5965 c=25.3772 alpha=90.00 beta=90.00 gamma=120.00
Space group R3m (No. 160, hexagonal axes)
Unique sites:
Cr 0.0000 0.0000 0.0000
Cr 0.0000 0.0000 0.2473
Ni 0.0000 0.0000 0.7449
Rh 0.0000 0.0000 0.5001